Compound: ZnRuCl
Source: Alexandria via LeMat-Bulk
Functional: PBE
Structure: optimized geometry

Properties
energy relative to the lowest polymorph listed for this composition = 0.089 eV/atom
V = 49 Å³ per cell
D(E_F) = 1.0960 states/eV per atom
space group = Fmm2, No. 42
crystal system = orthorhombic

Lattice parameters (Å, degrees): 6.829 6.449 3.057 83.76 69.82 26.42
Site moments in Bohr magnetons follow the coordinates.
Element x y z (fractional)
Cl 0.991 0.991 0.009  0.01
Ru 0.337 0.337 0.663  0.24
Zn 0.673 0.673 0.327  0.00